Record 1
# Mn2TeO GGA-PBEsol optimized geometry
# Formation energy from raw total energies, kcal/mol of atoms: -10.53
# Total magnetic moment, μB/cell: 24.71
# Volume, Å³/f.u.: 65
data_Mn2TeO
_cell_length_a 4.7896
_cell_length_b 4.7896
_cell_length_c 11.3437
_cell_angle_alpha 90.00
_cell_angle_beta 90.00
_cell_angle_gamma 90.00
_space_group_name_H-M_alt 'I -4 2 d'
_space_group_IT_number 122
_space_group_name_Hall 'I -4 2bw'
loop_
_atom_site_label
_atom_site_fract_x
_atom_site_fract_y
_atom_site_fract_z
Mn1 0.0908 0.2500 0.1250
Te1 0.0000 0.0000 0.5000
O1 0.0000 0.0000 0.0000



Record 2
# YZr9O20 GGA-PBEsol optimized geometry
# Formation energy from raw total energies, kcal/mol of atoms: -78.15
# Total magnetic moment, μB/cell: 0.00
# Volume, Å³/f.u.: 337
data_YZr9O20
_cell_length_a 6.3060
_cell_length_b 7.2599
_cell_length_c 8.0845
_cell_angle_alpha 77.17
_cell_angle_beta 75.17
_cell_angle_gamma 72.77
_space_group_name_H-M_alt 'P 1'
_space_group_IT_number 1
loop_
_space_group_symop_operation_xyz
'x,y,z'
loop_
_atom_site_label
_atom_site_fract_x
_atom_site_fract_y
_atom_site_fract_z
Y1 0.0000 0.0000 0.0000
Zr1 0.1970 0.3006 0.6015
Zr2 0.2005 0.7983 0.6021
Zr3 0.3946 0.5983 0.2017
Zr4 0.4009 0.0961 0.2001
Zr5 0.6000 0.3982 0.8007
Zr6 0.6007 0.8973 0.8027
Zr7 0.7960 0.7009 0.4004
Zr8 0.7988 0.1995 0.3991
Zr9 0.9989 0.4996 0.9964
O1 0.0220 0.6736 0.1641
O2 0.0757 0.2227 0.1458
O3 0.1171 0.0772 0.4611
O4 0.1755 0.6190 0.4443
O5 0.2307 0.4762 0.7599
O6 0.2828 0.0161 0.7351
O7 0.3392 0.8775 0.0640
O8 0.3776 0.4191 0.0396
O9 0.4097 0.2843 0.3594
O10 0.4735 0.8166 0.3471
O11 0.5232 0.6791 0.6609
O12 0.5793 0.2194 0.6378
O13 0.6163 0.0887 0.9548
O14 0.6732 0.6163 0.9433
O15 0.7144 0.4805 0.2597
O16 0.7591 0.0191 0.2517
O17 0.8184 0.8800 0.5600
O18 0.8799 0.4181 0.5341
O19 0.9236 0.2975 0.8493
O20 0.9730 0.8046 0.8358